Crystalline Er4ScBi5 at its relaxed geometry, computed with PBE.

Cell: 7.6450 7.6450 7.6450 Å, 99.62 99.62 131.74°
With the nearest neighbours (Å) after each atom.
Atoms (fractional coordinates):
Er 0.0966 0.6989 0.7955  6 Bi 3.12-3.15
Er 0.3011 0.0966 0.3978  6 Bi 3.12-3.15
Er 0.6989 0.9034 0.6022  6 Bi 3.12-3.15
Er 0.9034 0.3011 0.2045  6 Bi 3.12-3.15
Sc 0.5000 0.5000 0.0000  6 Bi 3.05-3.13
Bi 0.0000 0.0000 0.0000  4 Er 3.12, 2 Sc 3.13
Bi 0.2070 0.4011 0.6081  1 Sc 3.05, 5 Er 3.13-3.15
Bi 0.4011 0.7930 0.1940  1 Sc 3.05, 5 Er 3.13-3.15
Bi 0.5989 0.2070 0.8060  1 Sc 3.05, 5 Er 3.13-3.15
Bi 0.7930 0.5989 0.3919  1 Sc 3.05, 5 Er 3.13-3.15

Space group = I4/m, No. 87
ΔE_f = -17.89 kcal/mol of atoms
Density of states at the Fermi level = 1.8 states/eV/cell